First-principles (PBE with a Hubbard U) data for a relaxed CoAgN2O crystal, as listed in the Alexandria database.

The space group is P4/mmm (No. 123) and the conventional cell measures 3.7439, 3.7439 and 3.8686 Å, with angles of 90.00, 90.00 and 90.00 degrees. The inequivalent atoms are Co at (0.0000, 0.0000, 0.0000), Ag at (0.5000, 0.5000, 0.5000), N at (0.0000, 0.5000, 0.0000) and O at (0.0000, 0.0000, 0.5000).

The total magnetization is 4.4 μB per formula unit. The value obtained for the raw total energy is -4.75 eV per atom.